Arrangement w

# FeC2O6

A relaxed FeC2O6 crystal (PBE+U, Alexandria).

**Total magnetic moment**: 24.047 μB per cell

Lattice parameters (Å, degrees): 8.7062 8.6049 6.2161 90.00 116.02 90.00
Closest atoms and distances in Å follow each position.
Space group C2/c (No. 15)
Symmetry-distinct sites (fractional):
Fe: 0.0000 0.0901 0.2500  6 O 1.94-2.14
C: 0.2352 0.3574 0.2121  3 O 1.25-1.33
O: 0.1146 0.0861 0.6333  1 C 1.33
O: 0.1561 0.4194 0.0112  1 C 1.25
O: 0.1773 0.2352 0.2713  1 C 1.29

Arrangement x

# FeC2O6

A relaxed FeC2O6 crystal (PBE+U, Alexandria).

**Total magnetic moment**: 22.838 μB per cell

Lattice parameters (Å, degrees): 9.0327 5.3386 10.4318 90.00 115.65 90.00
Closest atoms and distances in Å follow each position.
Space group C2/c (No. 15)
Symmetry-distinct sites (fractional):
Fe: 0.0000 0.1244 0.2500  2 O 1.80
C: 0.0413 0.3756 0.8325  2 O 1.26
O: 0.0701 0.1648 0.8936  1 C 1.26
O: 0.0735 0.4137 0.3936  1 C 1.26
O: 0.1996 0.1245 0.2500  1 Fe 1.80

In order of decreasing stability: arrangement w, arrangement x.

Arrangement w

# FeP2CO

A relaxed FeP2CO crystal (PBE+U, Alexandria).

**Total magnetic moment**: 3.116 μB per cell

Lattice parameters (Å, degrees): 3.9420 3.9420 3.7765 90.00 90.00 90.00
Closest atoms and distances in Å follow each position.
Space group P4/mmm (No. 123)
Symmetry-distinct sites (fractional):
Fe: 0.0000 0.0000 0.0000  8 P 2.73, 4 O 2.79
P: 0.0000 0.5000 0.5000  2 C 1.97
C: 0.5000 0.5000 0.5000  2 O 1.89, 4 P 1.97
O: 0.5000 0.5000 0.0000  2 C 1.89

Arrangement x

# FeP2CO

A relaxed FeP2CO crystal (PBE+U, Alexandria).

**Total magnetic moment**: 2.060 μB per cell

Lattice parameters (Å, degrees): 4.5525 4.5525 3.4696 90.00 90.00 90.00
Closest atoms and distances in Å follow each position.
Space group P4/mmm (No. 123)
Symmetry-distinct sites (fractional):
Fe: 0.0000 0.0000 0.0000  2 O 1.73
P: 0.0000 0.5000 0.0000  2 Fe 2.28
C: 0.5000 0.5000 0.5000  8 P 2.86
O: 0.0000 0.0000 0.5000  2 Fe 1.73

In order of decreasing stability: arrangement w, arrangement x.